The following is a DFT calculation (PBE) of a relaxed structure of MgCd2Hg.

Summary:
crystal system = trigonal
ρ = 8.11 Mg/m³
energy of formation = -0.040 eV/atom
offset from the most stable computed form = 40 meV/atom
SG = R3m

Cell lengths 9.4457, 9.4457, 9.4457 Å; angles 20.69, 20.69, 20.69 degrees
With the nearest neighbours (Å) after each atom.
Positions (direct):
Mg  0.7513  0.7513  0.7513  3 Hg 2.95, 3 Cd 3.03
Cd  0.0013  0.0013  0.0013  3 Mg 3.03, 9 Cd 3.06-3.39
Cd  0.2498  0.2498  0.2498  9 Cd 3.06-3.39, 3 Hg 3.08
Hg  0.4975  0.4975  0.4975  3 Mg 2.95, 3 Cd 3.08



The following is a DFT calculation (PBE) of a relaxed structure of Mg7CdHg4.

Summary:
crystal system = triclinic
ρ = 6.81 Mg/m³
energy of formation = -0.135 eV/atom
offset from the most stable computed form = 0 meV/atom
SG = P-1

Cell lengths 6.0568, 6.6661, 9.6784 Å; angles 65.47, 48.48, 69.26 degrees
With the nearest neighbours (Å) after each atom.
Positions (direct):
Mg  0.5000  0.0000  0.0000  4 Hg 3.00-3.07, 2 Cd 3.03, 4 Mg 3.20-3.29
Mg  0.0229  0.3310  0.6557  5 Hg 2.97-3.17, 4 Mg 3.04-3.29, 1 Cd 3.08
Mg  0.9771  0.6690  0.3443  5 Hg 2.97-3.17, 4 Mg 3.04-3.29, 1 Cd 3.08
Mg  0.2427  0.5105  0.0020  3 Hg 2.88-3.01, 4 Mg 3.02-3.20, 1 Cd 3.07
Mg  0.2392  0.8321  0.6427  5 Hg 2.98-3.09, 4 Mg 3.14-3.31, 1 Cd 3.28
Mg  0.7573  0.4895  0.9980  3 Hg 2.88-3.01, 4 Mg 3.02-3.20, 1 Cd 3.07
Mg  0.7608  0.1679  0.3573  5 Hg 2.98-3.09, 4 Mg 3.14-3.31, 1 Cd 3.28
Hg  0.7099  0.8080  0.6869  8 Mg 2.96-3.09
Hg  0.2901  0.1920  0.3131  8 Mg 2.96-3.09
Hg  0.5203  0.6507  0.3117  7 Mg 2.88-3.17, 1 Cd 3.21
Hg  0.4797  0.3493  0.6883  7 Mg 2.88-3.17, 1 Cd 3.21
Cd  0.0000  0.0000  0.0000  8 Mg 3.03-3.28, 4 Hg 3.21-3.37



The following is a DFT calculation (PBE) of a relaxed structure of MgCd2Hg.

Summary:
crystal system = orthorhombic
ρ = 8.41 Mg/m³
energy of formation = -0.077 eV/atom
offset from the most stable computed form = 3 meV/atom
SG = Pmmm

Cell lengths 4.2761, 4.4848, 4.6297 Å; angles 90.00, 90.00, 90.00 degrees
With the nearest neighbours (Å) after each atom.
Positions (direct):
Cd  0.5000  0.5000  0.0000  4 Cd 3.10, 4 Mg 3.15, 4 Hg 3.22
Cd  0.0000  0.0000  0.0000  4 Cd 3.10, 4 Hg 3.15, 4 Mg 3.22
Mg  0.0000  0.5000  0.5000  4 Hg 3.10, 8 Cd 3.15-3.22
Hg  0.5000  0.0000  0.5000  4 Mg 3.10, 8 Cd 3.15-3.22



The following is a DFT calculation (PBE) of a relaxed structure of Mg2CdHg5.

Summary:
crystal system = triclinic
ρ = 10.27 Mg/m³
energy of formation = -0.076 eV/atom
offset from the most stable computed form = 0 meV/atom
SG = P1

Cell lengths 5.5577, 8.5056, 5.9807 Å; angles 112.23, 106.80, 118.40 degrees
With the nearest neighbours (Å) after each atom.
Positions (direct):
Hg  0.8946  0.9681  0.6889  6 Hg 2.98-3.30, 3 Mg 3.01-3.27, 1 Cd 3.18
Hg  0.6983  0.2322  0.0082  4 Mg 2.99-3.14, 5 Hg 3.13-3.30
Hg  0.1706  0.0969  0.3426  2 Cd 2.96-3.10, 3 Mg 2.96-3.24, 3 Hg 3.13-3.29
Hg  0.4372  0.4817  0.1770  4 Hg 2.98-3.17, 3 Mg 3.02-3.31, 2 Cd 3.08-3.11
Hg  0.3486  0.8103  0.9976  4 Mg 3.00-3.12, 2 Cd 3.04-3.09, 3 Hg 3.13-3.35
Mg  0.1669  0.7368  0.4127  9 Hg 2.99-3.31, 1 Cd 3.32
Mg  0.8757  0.3028  0.5859  8 Hg 2.96-3.17, 1 Cd 3.18
Cd  0.6310  0.5941  0.7871  7 Hg 2.96-3.18, 1 Mg 3.18



The following is a DFT calculation (PBE) of a relaxed structure of Mg2Cd2Hg7.

Summary:
crystal system = monoclinic
ρ = 10.53 Mg/m³
energy of formation = -0.057 eV/atom
offset from the most stable computed form = 0 meV/atom
SG = C2/m

Cell lengths 7.5716, 6.0513, 6.0513 Å; angles 106.08, 85.95, 85.95 degrees
With the nearest neighbours (Å) after each atom.
Positions (direct):
Cd  0.8414  0.3971  0.3971  6 Hg 2.97-3.15, 1 Cd 2.98
Cd  0.1586  0.6029  0.6029  6 Hg 2.97-3.15, 1 Cd 2.98
Hg  0.8111  0.9235  0.5104  2 Mg 2.99-3.04, 3 Cd 3.05-3.33, 3 Hg 3.07-3.31
Hg  0.0000  0.0000  0.0000  2 Cd 3.00, 4 Hg 3.31
Hg  0.1889  0.4896  0.0765  2 Mg 2.99-3.04, 3 Cd 3.05-3.33, 3 Hg 3.07-3.31
Hg  0.8111  0.5104  0.9235  2 Mg 2.99-3.04, 3 Cd 3.05-3.33, 3 Hg 3.07-3.31
Hg  0.5214  0.1964  0.1964  3 Hg 2.91-3.22, 1 Cd 2.97, 4 Mg 3.03-3.11
Hg  0.4786  0.8036  0.8036  3 Hg 2.91-3.22, 1 Cd 2.97, 4 Mg 3.03-3.11
Hg  0.1889  0.0765  0.4896  2 Mg 2.99-3.04, 3 Cd 3.05-3.33, 3 Hg 3.07-3.31
Mg  0.5000  0.7159  0.2841  8 Hg 2.99-3.11, 2 Cd 3.34
Mg  0.5000  0.2841  0.7159  8 Hg 2.99-3.11, 2 Cd 3.34



The following is a DFT calculation (PBE) of a relaxed structure of Mg2Cd4Hg5.

Summary:
crystal system = orthorhombic
ρ = 9.46 Mg/m³
energy of formation = -0.043 eV/atom
offset from the most stable computed form = 0 meV/atom
SG = Pbam

Cell lengths 3.6628, 6.9324, 20.7593 Å; angles 90.00, 90.00, 90.00 degrees
With the nearest neighbours (Å) after each atom.
Positions (direct):
Hg  0.0000  0.2072  0.1903  4 Mg 2.93-2.96, 2 Cd 3.07, 1 Hg 3.12
Hg  0.0000  0.3551  0.4034  6 Cd 3.07-3.43, 2 Mg 3.09, 2 Hg 3.12-3.17
Hg  0.0000  0.6449  0.5966  6 Cd 3.07-3.43, 2 Mg 3.09, 2 Hg 3.12-3.17
Hg  0.0000  0.7072  0.3097  4 Mg 2.93-2.96, 2 Cd 3.07, 1 Hg 3.12
Hg  0.0000  0.7928  0.8097  4 Mg 2.93-2.96, 2 Cd 3.07, 1 Hg 3.12
Hg  0.0000  0.0000  0.5000  8 Cd 3.05-3.30, 2 Hg 3.17
Hg  0.0000  0.8551  0.0966  6 Cd 3.07-3.43, 2 Mg 3.09, 2 Hg 3.12-3.17
Hg  0.0000  0.2928  0.6903  4 Mg 2.93-2.96, 2 Cd 3.07, 1 Hg 3.12
Hg  0.0000  0.5000  0.0000  8 Cd 3.05-3.30, 2 Hg 3.17
Hg  0.0000  0.1449  0.9034  6 Cd 3.07-3.43, 2 Mg 3.09, 2 Hg 3.12-3.17
Cd  0.5000  0.8286  0.9574  2 Cd 2.96-3.03, 4 Hg 3.05-3.07
Cd  0.5000  0.9832  0.6321  1 Cd 3.03, 6 Hg 3.07-3.30, 2 Mg 3.07-3.29
Cd  0.5000  0.0168  0.3679  1 Cd 3.03, 6 Hg 3.07-3.30, 2 Mg 3.07-3.29
Cd  0.5000  0.4832  0.8679  1 Cd 3.03, 6 Hg 3.07-3.30, 2 Mg 3.07-3.29
Cd  0.5000  0.5168  0.1321  1 Cd 3.03, 6 Hg 3.07-3.30, 2 Mg 3.07-3.29
Cd  0.5000  0.1714  0.0426  2 Cd 2.96-3.03, 4 Hg 3.05-3.07
Cd  0.5000  0.6714  0.4574  2 Cd 2.96-3.03, 4 Hg 3.05-3.07
Cd  0.5000  0.3286  0.5426  2 Cd 2.96-3.03, 4 Hg 3.05-3.07
Mg  0.5000  0.8809  0.2163  6 Hg 2.93-3.09, 1 Cd 3.07
Mg  0.5000  0.6191  0.7163  6 Hg 2.93-3.09, 1 Cd 3.07
Mg  0.5000  0.1191  0.7837  6 Hg 2.93-3.09, 1 Cd 3.07
Mg  0.5000  0.3809  0.2837  6 Hg 2.93-3.09, 1 Cd 3.07